The following is a DFT calculation (PBE-GGA) of a relaxed LiScGe crystal.

Cell: 4.4761 4.4761 6.2207 Å, 90.00 90.00 120.00°
Positions (direct):
Sc 0.3333 0.6667 0.4587
Sc 0.6667 0.3333 0.7936
Ge 0.0000 0.0000 0.5559
Ge 0.3333 0.6667 0.0020
Li 0.0000 0.0000 0.1096
Li 0.6667 0.3333 0.2532

Summary:
The calculated total energy is -28.93 eV/cell. The space group is P3m1 (156).